DFT (GGA-PBE) results for a relaxed structure of NaAcSe.

Summary:
N(E_F): 6.0 states/eV/cell
formation energy from raw total energies: -0.927 eV per atom
energy: -3.898 eV per atom
calculated volume: 37.48 Å³ per atom

POSCAR file:
```
NaAcSe
1.0
4.393 0.000 0.000
0.000 10.263 0.334
0.000 -0.316 9.966
Se Na Ac
4 4 4
direct
0.250 0.127 0.377 Se
0.250 0.627 0.877 Se
0.750 0.373 0.123 Se
0.750 0.873 0.623 Se
0.750 0.077 0.164 Na
0.250 0.923 0.836 Na
0.750 0.577 0.664 Na
0.250 0.423 0.336 Na
0.750 0.668 0.093 Ac
0.250 0.332 0.907 Ac
0.750 0.168 0.593 Ac
0.250 0.832 0.407 Ac
```

---

DFT (GGA-PBE) results for a relaxed structure of PaCrTc2.

Summary:
energy relative to the elements: 0.35 eV/f.u.
N(E_F): 7.9 states/eV/cell
energy: -9.876 eV per atom
calculated volume: 16.98 Å³ per atom

POSCAR file:
```
PaCrTc2
1.0
4.580 0.000 0.000
2.290 3.966 0.000
2.290 1.322 3.739
Tc Cr Pa
2 1 1
direct
0.250 0.250 0.250 Tc
0.750 0.750 0.750 Tc
0.000 0.000 0.000 Cr
0.500 0.500 0.500 Pa
```

---

DFT (GGA-PBE) results for a relaxed structure of Pa3Si7Rh2.

Summary:
N(E_F): 7.8 states/eV/cell
formation energy from raw total energies: -0.693 eV per atom
energy: -7.456 eV per atom
calculated volume: 17.72 Å³ per atom

POSCAR file:
```
Pa3Si7Rh2
1.0
-3.950 -0.938 0.584
1.111 -3.073 2.573
-0.961 9.309 8.455
Pa Rh Si
3 2 7
direct
0.000 0.800 0.631 Pa
0.000 0.200 0.369 Pa
0.500 0.500 0.000 Pa
0.500 0.394 0.739 Rh
0.500 0.606 0.261 Rh
0.500 0.075 0.168 Si
0.500 0.268 0.548 Si
0.500 0.925 0.832 Si
0.000 0.330 0.829 Si
0.000 0.670 0.171 Si
0.000 0.000 0.000 Si
0.500 0.732 0.452 Si
```

---

DFT (GGA-PBE) results for a relaxed structure of AcSmTePb.

Summary:
N(E_F): 2.8 states/eV/cell
formation energy from raw total energies: -0.790 eV per atom
energy: -4.710 eV per atom
calculated volume: 32.49 Å³ per atom

POSCAR file:
```
AcSmTePb
1.0
-0.521 3.156 -4.700
3.473 -0.880 -4.414
-2.012 -2.330 -4.780
Te Sm Ac Pb
1 1 1 1
direct
0.250 0.250 0.250 Te
0.500 0.500 0.500 Sm
0.000 0.000 0.000 Ac
0.750 0.750 0.750 Pb
```

---

DFT (GGA-PBE) results for a relaxed structure of Cs3Ce2PdSe6.

Summary:
N(E_F): 7.9 states/eV/cell
formation energy from raw total energies: -1.271 eV per atom
energy: -4.648 eV per atom
calculated volume: 33.72 Å³ per atom

POSCAR file:
```
Cs3Ce2PdSe6
1.0
7.309 0.331 -0.092
-3.366 6.497 -0.092
-1.416 -2.452 8.391
Se Cs Ce Pd
6 3 2 1
direct
0.065 0.364 0.166 Se
0.696 0.696 0.213 Se
0.636 0.935 0.834 Se
0.364 0.065 0.166 Se
0.935 0.636 0.834 Se
0.304 0.304 0.787 Se
0.500 0.500 0.500 Cs
0.828 0.172 0.500 Cs
0.172 0.828 0.500 Cs
0.667 0.333 0.000 Ce
0.333 0.667 0.000 Ce
0.000 0.000 0.000 Pd
```

---

DFT (GGA-PBE) results for a relaxed structure of Li3Sb.

Summary:
N(E_F): 0.9 states/eV/cell
formation energy from raw total energies: -0.529 eV per atom
energy: -2.995 eV per atom
calculated volume: 18.69 Å³ per atom

POSCAR file:
```
Li3Sb
1.0
-5.582 -2.189 -0.463
4.724 -3.697 -0.426
-0.119 -0.696 4.722
Li Sb
6 2
direct
0.820 0.641 0.250 Li
0.641 0.820 0.750 Li
0.180 0.359 0.750 Li
0.180 0.820 0.750 Li
0.820 0.180 0.250 Li
0.359 0.180 0.250 Li
0.667 0.333 0.750 Sb
0.333 0.667 0.250 Sb
```

---

DFT (GGA-PBE) results for a relaxed structure of GaSn2Sb2.

Summary:
N(E_F): 5.6 states/eV/cell
formation energy from raw total energies: 0.126 eV per atom
energy: -3.730 eV per atom
calculated volume: 28.04 Å³ per atom

POSCAR file:
```
GaSn2Sb2
1.0
-5.541 -5.095 3.585
3.327 -6.477 -4.061
2.548 -0.613 3.066
Ga Sn Sb
2 4 4
direct
0.000 0.000 0.000 Ga
0.500 0.500 0.000 Ga
0.646 0.854 0.500 Sn
0.854 0.354 0.500 Sn
0.354 0.146 0.500 Sn
0.146 0.646 0.500 Sn
0.344 0.844 0.000 Sb
0.156 0.344 0.000 Sb
0.656 0.156 0.000 Sb
0.844 0.656 0.000 Sb
```

---

DFT (GGA-PBE) results for a relaxed structure of FeRu3.

Summary:
energy relative to the elements: 0.56 eV/f.u.
N(E_F): 4.5 states/eV/cell
energy: -8.933 eV per atom
calculated volume: 13.45 Å³ per atom

POSCAR file:
```
FeRu3
1.0
-1.444 -1.989 1.077
2.180 -1.765 -3.681
3.243 -0.621 3.202
Ru Fe
3 1
direct
0.500 0.000 0.500 Ru
0.749 0.499 0.247 Ru
0.251 0.501 0.753 Ru
0.000 0.000 0.000 Fe
```